No. 1
First-principles (SCAN) data for PmLu3 at its PBEsol-relaxed geometry, as listed in Alexandria. Values from VASP.

## Properties
- final energy (eV per atom) = -52.495
- M_tot (μB/f.u.) = 0.00

Quantum ESPRESSO input file:
```
&SYSTEM
  ibrav = 0, nat = 8, ntyp = 2
/
ATOMIC_SPECIES
Lu 174.97 Lu.upf
Pm 145.00 Pm.upf
CELL_PARAMETERS angstrom
-4.0312 1.6931 3.3097
-4.6836 -1.3636 -5.0071
1.7157 -4.9539 4.6240
ATOMIC_POSITIONS angstrom
Lu -1.2145 -1.4372 1.5274
Pm -3.4408 -2.4873 3.8959
Lu -5.7846 -3.1872 1.3991
Lu -6.6507 -0.6864 -0.9351
Lu -4.2863 0.0020 1.5925
Pm -3.5583 -2.1371 -0.9693
Lu -2.7127 -4.6264 1.3340
Lu -0.3484 -3.9380 3.8617
```

***

No. 2
First-principles (SCAN) data for PmLuZn2 at its PBEsol-relaxed geometry, as listed in Alexandria. Values from VASP.

## Properties
- final energy (eV per atom) = -31.987
- M_tot (μB/f.u.) = 0.00

Quantum ESPRESSO input file:
```
&SYSTEM
  ibrav = 0, nat = 4, ntyp = 3
/
ATOMIC_SPECIES
Pm 145.00 Pm.upf
Zn 65.41 Zn.upf
Lu 174.97 Lu.upf
CELL_PARAMETERS angstrom
4.9678 0.0000 0.0000
2.4839 4.3023 0.0000
2.4839 1.4341 4.0562
ATOMIC_POSITIONS angstrom
Pm 0.0000 0.0000 0.0000
Zn 7.4518 4.3023 3.0422
Lu 4.9678 2.8682 2.0281
Zn 2.4839 1.4341 1.0141
```